! Li2Sc2In2AgPt PBE relaxed; values from VASP
&SYSTEM
  ibrav = 0, nat = 8, ntyp = 5
/
ATOMIC_SPECIES
Li 6.94 Li.upf
Sc 44.96 Sc.upf
In 114.82 In.upf
Ag 107.87 Ag.upf
Pt 195.08 Pt.upf
ATOMIC_POSITIONS crystal
Li 0.0000 0.0000 0.0000
Li 0.5000 0.5000 0.5000
Sc 0.0000 0.5000 0.7341
Sc 0.5000 0.0000 0.2659
In 0.0000 0.5000 0.2510
In 0.5000 0.0000 0.7490
Ag 0.5000 0.5000 0.0000
Pt 0.0000 0.0000 0.5000
CELL_PARAMETERS angstrom
4.6600 0.0000 0.0000
0.0000 4.6600 0.0000
0.0000 0.0000 6.6634
! - Theoretical density: 7.303 Mg/m³
! - E_tot: -35.46 eV per cell
! - Space group: P-4m2

=====

! Li2YScIn2Ag2 PBE relaxed; values from VASP
&SYSTEM
  ibrav = 0, nat = 8, ntyp = 5
/
ATOMIC_SPECIES
Li 6.94 Li.upf
Y 88.91 Y.upf
Sc 44.96 Sc.upf
In 114.82 In.upf
Ag 107.87 Ag.upf
ATOMIC_POSITIONS crystal
Li 0.0000 0.5000 0.2383
Li 0.5000 0.0000 0.7617
Y 0.0000 0.0000 0.5000
Sc 0.5000 0.5000 0.0000
In 0.0000 0.0000 0.0000
In 0.5000 0.5000 0.5000
Ag 0.0000 0.5000 0.7620
Ag 0.5000 0.0000 0.2380
CELL_PARAMETERS angstrom
4.8019 0.0000 0.0000
0.0000 4.8019 0.0000
0.0000 0.0000 6.8089
! - Theoretical density: 6.273 Mg/m³
! - E_tot: -30.75 eV per cell
! - Space group: P-4m2

=====

! LiIn2AgSe4 PBE relaxed; values from VASP
&SYSTEM
  ibrav = 0, nat = 8, ntyp = 4
/
ATOMIC_SPECIES
Li 6.94 Li.upf
In 114.82 In.upf
Ag 107.87 Ag.upf
Se 78.96 Se.upf
ATOMIC_POSITIONS crystal
Li 0.0000 0.0000 0.0000
In 0.5000 0.5000 0.0000
In 0.7500 0.2500 0.5000
Ag 0.2500 0.7500 0.5000
Se 0.1216 0.6302 0.9948
Se 0.3698 0.3646 0.4914
Se 0.6354 0.1268 0.0052
Se 0.8732 0.8784 0.5086
CELL_PARAMETERS angstrom
-3.0511 3.0511 5.9923
3.0511 -3.0511 5.9923
3.0511 3.0511 -5.9923
! - Theoretical density: 4.914 Mg/m³
! - E_tot: -29.38 eV per cell
! - Space group: I-4

=====

! Li4InSiAg2 PBE relaxed; values from VASP
&SYSTEM
  ibrav = 0, nat = 8, ntyp = 4
/
ATOMIC_SPECIES
Li 6.94 Li.upf
In 114.82 In.upf
Si 28.09 Si.upf
Ag 107.87 Ag.upf
ATOMIC_POSITIONS crystal
Li 0.0000 0.0000 0.0000
Li 0.0000 0.5000 0.2251
Li 0.5000 0.0000 0.7749
Li 0.5000 0.5000 0.5000
In 0.0000 0.0000 0.5000
Si 0.5000 0.5000 0.0000
Ag 0.0000 0.5000 0.7770
Ag 0.5000 0.0000 0.2230
CELL_PARAMETERS angstrom
4.4234 0.0000 0.0000
0.0000 4.4234 0.0000
0.0000 0.0000 6.4429
! - Theoretical density: 5.090 Mg/m³
! - E_tot: -23.63 eV per cell
! - Space group: P-4m2

=====

! LiSmInAg PBE relaxed; values from VASP
&SYSTEM
  ibrav = 0, nat = 4, ntyp = 4
/
ATOMIC_SPECIES
Li 6.94 Li.upf
Sm 150.36 Sm.upf
In 114.82 In.upf
Ag 107.87 Ag.upf
ATOMIC_POSITIONS crystal
Li 0.0000 0.0000 0.0000
Sm 0.2500 0.2500 0.2500
In 0.7500 0.7500 0.7500
Ag 0.5000 0.5000 0.5000
CELL_PARAMETERS angstrom
0.0000 3.4906 3.4906
3.4906 0.0000 3.4906
3.4906 3.4906 0.0000
! - Theoretical density: 7.418 Mg/m³
! - E_tot: -13.78 eV per cell
! - Space group: F-43m

=====

! Li2InAg4Sn PBE relaxed; values from VASP
&SYSTEM
  ibrav = 0, nat = 8, ntyp = 4
/
ATOMIC_SPECIES
Li 6.94 Li.upf
In 114.82 In.upf
Ag 107.87 Ag.upf
Sn 118.71 Sn.upf
ATOMIC_POSITIONS crystal
Li 0.0000 0.0000 0.0000
Li 0.5000 0.5000 0.5000
In 0.0000 0.0000 0.5000
Ag 0.0000 0.5000 0.2511
Ag 0.0000 0.5000 0.7489
Ag 0.5000 0.0000 0.2511
Ag 0.5000 0.0000 0.7489
Sn 0.5000 0.5000 0.0000
CELL_PARAMETERS angstrom
4.7048 0.0000 0.0000
0.0000 4.7048 0.0000
0.0000 0.0000 6.6451
! - Theoretical density: 7.664 Mg/m³
! - E_tot: -23.70 eV per cell
! - Space group: P4/mmm

=====

- Look up the E_tot of the sixth one.
  -23.70 eV per cell

=====

- What is the E_tot in the fourth record?
  -23.63 eV per cell

=====

- Which of these has the lowest theoretical density?
  LiIn2AgSe4

=====

- What is the E_tot in the sixth record?
  -23.70 eV per cell